YCuRu2Cl | PBE | optimized geometry

- space-group type = No. 123
- magnetization (Bohr magnetons per cell) = 0.0
- calculated density (g cm⁻³) = 7.3
- formation energy (no corrections) (eV per atom) = 0.480

Unit cell a=4.480 b=4.480 c=4.394 alpha=90.00 beta=90.00 gamma=90.00
Fractional coordinates of all 5 atoms:
Y: 0.000 0.000 0.000
Cu: 0.500 0.500 0.000
Ru: 0.000 0.500 0.500
Ru: 0.500 0.000 0.500
Cl: 0.500 0.500 0.500